1.
A plane-wave DFT calculation with PBE-GGA was carried out for crystalline AlGa3Sb at its relaxed geometry.

a = 4.964 Å, b = 4.964 Å, c = 4.964 Å
α = 90.00°, β = 90.00°, γ = 90.00°
Space group Pm-3m (No. 221)
Asymmetric unit:
Al 0.000 0.000 0.000
Ga 0.000 0.000 0.500
Sb 0.500 0.500 0.500

Formation energy (no corrections), eV/atom: 0.31
Crystal system: cubic
M_tot, Bohr magnetons per cell: 0.00
Mass density, g cm⁻³: 4.86
Energy relative to the lowest polymorph listed for this composition, eV per atom: 0.000

2.
A plane-wave DFT calculation with PBE-GGA was carried out for crystalline Al2Ga2Sb at its relaxed geometry.

a = 8.244 Å, b = 8.244 Å, c = 2.947 Å
α = 90.00°, β = 90.00°, γ = 90.00°
Space group P4/mbm (No. 127)
Asymmetric unit:
Al 0.167 0.333 0.000
Ga 0.128 0.628 0.500
Sb 0.000 0.000 0.000

Formation energy (no corrections), eV/atom: 0.07
Crystal system: tetragonal
M_tot, Bohr magnetons per cell: 0.00
Mass density, g cm⁻³: 5.23
Energy relative to the lowest polymorph listed for this composition, eV per atom: 0.000